DFT (PBE) results for a relaxed Ac2HoTh crystal.

Cell lengths 3.770, 3.770, 10.603 Å; angles 90.00, 90.00, 90.00 degrees
Space group P4/mmm (No. 123)
Inequivalent atoms, fractional coordinates:
Ac  0.000  0.000  0.248 (multiplicity 2)
Ho  0.500  0.500  0.500 (multiplicity 1)
Th  0.500  0.500  0.000 (multiplicity 1)

Output
Distance to the lowest polymorph of the same formula (eV/atom): 0.000
Energy (eV/atom): -4.9280
Volume (Å³ per atom): 37.67
Formation energy from the elements (eV per atom): 0.126

***

DFT (PBE) results for a relaxed AcHoThTl crystal.

Cell lengths 7.986, 7.986, 7.986 Å; angles 90.00, 90.00, 90.00 degrees
Space group F-43m (No. 216)
Inequivalent atoms, fractional coordinates:
Ac  0.000  0.000  0.000 (multiplicity 4)
Ho  0.250  0.250  0.750 (multiplicity 4)
Th  0.250  0.250  0.250 (multiplicity 4)
Tl  0.000  0.000  0.500 (multiplicity 4)

Output
Energy (eV/atom): -4.5003
Volume (Å³ per atom): 31.83
Formation energy from the elements (eV per atom): 0.118

***

DFT (PBE) results for a relaxed Ac2HoTi crystal.

Cell lengths 3.6187, 3.6187, 37.2556 Å; angles 90.00, 90.00, 120.00 degrees
Space group R-3m (No. 166, hexagonal axes)
Inequivalent atoms, fractional coordinates:
Ac  0.0000  0.0000  0.0842 (multiplicity 6)
Ho  0.0000  0.0000  0.5000 (multiplicity 3)
Ti  0.0000  0.0000  0.0000 (multiplicity 3)

Output
Energy (eV/atom): -4.5627
Volume (Å³ per atom): 35.21
Formation energy from the elements (eV per atom): 0.610

***

DFT (PBE) results for a relaxed AcHo2Ti crystal.

Cell lengths 3.4806, 3.4806, 36.0096 Å; angles 90.00, 90.00, 120.00 degrees
Space group R-3m (No. 166, hexagonal axes)
Inequivalent atoms, fractional coordinates:
Ac  0.0000  0.0000  0.0000 (multiplicity 3)
Ho  0.0000  0.0000  0.4186 (multiplicity 6)
Ti  0.0000  0.0000  0.5000 (multiplicity 3)

Output
Energy (eV/atom): -4.7455
Volume (Å³ per atom): 31.48
Formation energy from the elements (eV per atom): 0.544

***

DFT (PBE) results for a relaxed Ac3Ho2Tl3 crystal.

Cell lengths 4.006, 5.758, 23.861 Å; angles 90.00, 90.00, 90.00 degrees
Space group Immm (No. 71)
Inequivalent atoms, fractional coordinates:
Ac  0.000  0.000  0.000 (multiplicity 2)
Ac  0.000  0.500  0.125 (multiplicity 4)
Ho  0.000  0.000  0.236 (multiplicity 4)
Tl  0.000  0.000  0.500 (multiplicity 2)
Tl  0.000  0.500  0.370 (multiplicity 4)

Output
Energy (eV/atom): -3.8140
Volume (Å³ per atom): 34.40
Formation energy from the elements (eV per atom): -0.242

***

DFT (PBE) results for a relaxed Ac4HoTl2 crystal.

Cell lengths 7.240, 8.487, 10.498 Å; angles 89.39, 70.73, 64.80 degrees
Space group P1 (No. 1)
Inequivalent atoms, fractional coordinates:
Ac  0.000  0.000  0.000 (multiplicity 1)
Ac  0.015  0.522  0.463 (multiplicity 1)
Ac  0.058  0.471  0.852 (multiplicity 1)
Ac  0.136  0.966  0.345 (multiplicity 1)
Ac  0.440  0.510  0.071 (multiplicity 1)
Ac  0.514  0.004  0.562 (multiplicity 1)
Ac  0.556  0.960  0.949 (multiplicity 1)
Ac  0.572  0.471  0.419 (multiplicity 1)
Ho  0.063  0.836  0.662 (multiplicity 1)
Ho  0.511  0.641  0.753 (multiplicity 1)
Tl  0.069  0.311  0.152 (multiplicity 1)
Tl  0.501  0.166  0.263 (multiplicity 1)
Tl  0.782  0.737  0.207 (multiplicity 1)
Tl  0.788  0.238  0.708 (multiplicity 1)

Output
Energy (eV/atom): -3.7579
Volume (Å³ per atom): 38.90
Formation energy from the elements (eV per atom): -0.080

***

DFT (PBE) results for a relaxed Ac2HoTl crystal.

Cell lengths 5.215, 5.215, 5.191 Å; angles 90.00, 90.00, 90.00 degrees
Space group P4/mmm (No. 123)
Inequivalent atoms, fractional coordinates:
Ac  0.000  0.500  0.000 (multiplicity 2)
Ho  0.000  0.000  0.500 (multiplicity 1)
Tl  0.500  0.500  0.500 (multiplicity 1)

Output
Distance to the lowest polymorph of the same formula (eV/atom): 0.008
Energy (eV/atom): -3.8807
Volume (Å³ per atom): 35.29
Formation energy from the elements (eV per atom): -0.090

***

DFT (PBE) results for a relaxed AcHo3Tl2 crystal.

Cell lengths 16.986, 5.457, 9.381 Å; angles 90.00, 118.57, 90.00 degrees
Space group C2/m (No. 12)
Inequivalent atoms, fractional coordinates:
Ac  0.132  0.000  0.178 (multiplicity 4)
Ho  0.063  0.000  0.714 (multiplicity 4)
Ho  0.113  0.500  0.530 (multiplicity 4)
Ho  0.195  0.500  0.980 (multiplicity 4)
Tl  0.007  0.500  0.166 (multiplicity 4)
Tl  0.220  0.000  0.607 (multiplicity 4)

Output
Energy (eV/atom): -3.9296
Volume (Å³ per atom): 31.82
Formation energy from the elements (eV per atom): -0.167